PBE-GGA Ac6Sn3Ir2, optimized geometry; DOS at the Fermi energy = 0.518 states/eV per atom; space-group type = I4/mmm; size of the total moment = 0.000 μB per atom; ΔE_f = -0.48 eV/atom; density = 8.2 Mg/m³
1.0
-2.7754 2.7754 13.8029
2.7754 -2.7754 13.8029
2.7754 2.7754 -13.8029
Ac Sn Ir
6 3 2
Direct
0.0807 0.5807 0.5000
0.2067 0.2067 0.0000
0.4193 0.9193 0.5000
0.5807 0.0807 0.5000
0.7933 0.7933 0.0000
0.9193 0.4193 0.5000
0.3288 0.3288 0.0000
0.5000 0.5000 0.0000
0.6712 0.6712 0.0000
0.1053 0.1053 0.0000
0.8947 0.8947 0.0000

---

PBE-GGA Ac2Sn8Ir, optimized geometry; DOS at the Fermi energy = 0.408 states/eV per atom; space-group type = P4/mmm; size of the total moment = 0.000 μB per atom; ΔE_f = -0.41 eV/atom; density = 8.8 Mg/m³
1.0
4.8478 0.0000 0.0000
0.0000 4.8478 0.0000
0.0000 0.0000 12.8487
Ac Sn Ir
2 8 1
Direct
0.0000 0.0000 0.1916
0.0000 0.0000 0.8084
0.0000 0.5000 0.0000
0.0000 0.5000 0.3828
0.0000 0.5000 0.6172
0.5000 0.0000 0.0000
0.5000 0.0000 0.3828
0.5000 0.0000 0.6172
0.5000 0.5000 0.1986
0.5000 0.5000 0.8014
0.0000 0.0000 0.5000

---

PBE-GGA Ac3Sn2Ir4, optimized geometry; DOS at the Fermi energy = 0.497 states/eV per atom; space-group type = C2/m; size of the total moment = 0.000 μB per atom; ΔE_f = -0.58 eV/atom; density = 12.5 Mg/m³
1.0
5.5089 -2.2522 0.0000
5.5089 2.2522 0.0000
-1.4529 0.0000 9.0543
Ac Sn Ir
3 2 4
Direct
0.0000 0.0000 0.0000
0.3757 0.3757 0.6223
0.6243 0.6243 0.3777
0.3183 0.3183 0.2193
0.6817 0.6817 0.7807
0.0788 0.0788 0.6255
0.2755 0.2755 0.9170
0.7245 0.7245 0.0830
0.9212 0.9212 0.3745

---

PBE-GGA Ac8Sn2Ir, optimized geometry; DOS at the Fermi energy = 1.121 states/eV per atom; space-group type = C2/m; size of the total moment = 0.000 μB per atom; ΔE_f = -0.39 eV/atom; density = 8.6 Mg/m³
1.0
10.1375 -2.3259 0.0000
10.1375 2.3259 0.0000
-1.1642 0.0000 9.2416
Ac Sn Ir
8 2 1
Direct
0.0022 0.0022 0.2067
0.2124 0.2124 0.3537
0.3513 0.3513 0.9847
0.4032 0.4032 0.4635
0.5968 0.5968 0.5365
0.6487 0.6487 0.0153
0.7876 0.7876 0.6463
0.9978 0.9978 0.7933
0.1830 0.1830 0.7612
0.8170 0.8170 0.2388
0.5000 0.5000 0.0000

---

PBE-GGA AcSn4Ir, optimized geometry; DOS at the Fermi energy = 0.681 states/eV per atom; space-group type = Cmcm; size of the total moment = 0.000 μB per atom; ΔE_f = -0.45 eV/atom; energy above the most stable polymorph in this dataset = 0.000 eV/f.u.; density = 9.5 Mg/m³
1.0
2.2943 -9.3235 0.0000
2.2943 9.3235 0.0000
0.0000 0.0000 7.2777
Ac Sn Ir
2 8 2
Direct
0.1167 0.8833 0.7500
0.8833 0.1167 0.2500
0.0673 0.9327 0.2500
0.3083 0.6917 0.5361
0.3083 0.6917 0.9639
0.5000 0.5000 0.0000
0.5000 0.5000 0.5000
0.6917 0.3083 0.0361
0.6917 0.3083 0.4639
0.9327 0.0673 0.7500
0.2089 0.7911 0.2500
0.7911 0.2089 0.7500

---

PBE-GGA AcSn4Ir, optimized geometry; DOS at the Fermi energy = 0.641 states/eV per atom; space-group type = P-1; size of the total moment = 0.000 μB per atom; ΔE_f = -0.31 eV/atom; energy above the most stable polymorph in this dataset = 0.885 eV/f.u.; density = 8.9 Mg/m³
1.0
6.9210 0.0000 0.0000
3.3446 6.3760 0.0000
0.0872 0.9014 7.5225
Ac Sn Ir
2 8 2
Direct
0.1252 0.4589 0.2734
0.8748 0.5411 0.7266
0.1390 0.9935 0.1516
0.3235 0.6305 0.5917
0.3468 0.0360 0.6523
0.4015 0.3962 0.9185
0.5985 0.6038 0.0815
0.6532 0.9640 0.3477
0.6765 0.3695 0.4083
0.8610 0.0065 0.8484
0.0000 0.0000 0.5000
0.5000 0.0000 0.0000

---

PBE-GGA AcSnIr, optimized geometry; DOS at the Fermi energy = 1.102 states/eV per atom; space-group type = I4mm; size of the total moment = 0.000 μB per atom; ΔE_f = -0.35 eV/atom; energy above the most stable polymorph in this dataset = 1.053 eV/f.u.; density = 11.9 Mg/m³
1.0
3.5281 0.0000 0.0000
0.0000 3.5281 0.0000
0.0000 0.0000 12.0712
Ac Sn Ir
2 2 2
Direct
0.0000 0.0000 0.0000
0.5000 0.5000 0.5000
0.0000 0.0000 0.2810
0.5000 0.5000 0.7810
0.0000 0.0000 0.6676
0.5000 0.5000 0.1676

---

PBE-GGA Ac5Sn4Ir, optimized geometry; DOS at the Fermi energy = 0.786 states/eV per atom; space-group type = I4; size of the total moment = 0.000 μB per atom; ΔE_f = -0.50 eV/atom; density = 8.2 Mg/m³
1.0
-5.2544 5.2544 3.3241
5.2544 -5.2544 3.3241
5.2544 5.2544 -3.3241
Ac Sn Ir
5 4 1
Direct
0.9999 0.9999 0.0000
0.2381 0.3998 0.6379
0.3998 0.7619 0.1617
0.6002 0.2381 0.8383
0.7619 0.6002 0.3621
0.0773 0.6791 0.7564
0.3208 0.0773 0.3982
0.6791 0.9227 0.6018
0.9227 0.3208 0.2436
0.5008 0.5008 0.0000

---

PBE-GGA AcSn4Ir2, optimized geometry; DOS at the Fermi energy = 0.250 states/eV per atom; space-group type = Pnma; size of the total moment = 0.000 μB per atom; ΔE_f = -0.51 eV/atom; energy above the most stable polymorph in this dataset = 0.000 eV/f.u.; density = 11.3 Mg/m³
1.0
18.8603 0.0000 0.0000
0.0000 4.6129 0.0000
0.0000 0.0000 7.3548
Ac Sn Ir
4 16 8
Direct
0.1419 0.2500 0.0042
0.3581 0.7500 0.5042
0.6419 0.2500 0.4958
0.8581 0.7500 0.9958
0.0305 0.7500 0.8613
0.0675 0.2500 0.4814
0.1821 0.7500 0.3107
0.1948 0.7500 0.7204
0.3052 0.2500 0.2204
0.3179 0.2500 0.8107
0.4325 0.7500 0.9814
0.4695 0.2500 0.3613
0.5305 0.7500 0.6387
0.5675 0.2500 0.0186
0.6821 0.7500 0.1893
0.6948 0.7500 0.7796
0.8052 0.2500 0.2796
0.8179 0.2500 0.6893
0.9325 0.7500 0.5187
0.9695 0.2500 0.1387
0.0349 0.7500 0.2522
0.2137 0.2500 0.5189
0.2863 0.7500 0.0189
0.4651 0.2500 0.7522
0.5349 0.7500 0.2478
0.7137 0.2500 0.9811
0.7863 0.7500 0.4811
0.9651 0.2500 0.7478

---

PBE-GGA Ac8Sn5Ir, optimized geometry; DOS at the Fermi energy = 0.662 states/eV per atom; space-group type = I-4; size of the total moment = 0.000 μB per atom; ΔE_f = -0.63 eV/atom; density = 8.5 Mg/m³
1.0
-4.9902 4.9902 5.1324
4.9902 -4.9902 5.1324
4.9902 4.9902 -5.1324
Ac Sn Ir
8 5 1
Direct
0.1223 0.3689 0.1093
0.1592 0.3836 0.6448
0.2597 0.0131 0.8907
0.4856 0.8408 0.2244
0.6164 0.2612 0.7756
0.6311 0.7403 0.7534
0.7388 0.5144 0.3552
0.9869 0.8777 0.2466
0.2500 0.7500 0.5000
0.3782 0.2433 0.3723
0.7567 0.1289 0.1348
0.8711 0.0059 0.6277
0.9941 0.6218 0.8652
0.5000 0.5000 0.0000

---

PBE-GGA Ac2Sn2Ir, optimized geometry; DOS at the Fermi energy = 0.726 states/eV per atom; space-group type = C2/m; size of the total moment = 0.000 μB per atom; ΔE_f = -0.69 eV/atom; density = 9.9 Mg/m³
1.0
5.9889 -2.3451 0.0000
5.9889 2.3451 0.0000
-5.1338 0.0000 10.5390
Ac Sn Ir
4 4 2
Direct
0.0019 0.0019 0.1657
0.1938 0.1938 0.6264
0.8062 0.8062 0.3736
0.9981 0.9981 0.8343
0.3277 0.3277 0.9503
0.4845 0.4845 0.6208
0.5155 0.5155 0.3792
0.6723 0.6723 0.0497
0.2799 0.2799 0.1729
0.7201 0.7201 0.8271

---

PBE-GGA Ac2SnIr, optimized geometry; DOS at the Fermi energy = 0.476 states/eV per atom; space-group type = Cmcm; size of the total moment = 0.000 μB per atom; ΔE_f = -0.61 eV/atom; density = 9.8 Mg/m³
1.0
4.6213 0.0000 0.0000
0.0000 25.4479 0.0000
0.0000 0.0000 4.4254
Ac Sn Ir
8 4 4
Direct
0.0000 0.0781 0.2500
0.0000 0.3062 0.2500
0.0000 0.6938 0.7500
0.0000 0.9219 0.7500
0.5000 0.1938 0.7500
0.5000 0.4219 0.7500
0.5000 0.5781 0.2500
0.5000 0.8062 0.2500
0.0000 0.4619 0.2500
0.0000 0.5381 0.7500
0.5000 0.0381 0.7500
0.5000 0.9619 0.2500
0.0000 0.1885 0.2500
0.0000 0.8115 0.7500
0.5000 0.3115 0.7500
0.5000 0.6885 0.2500

---

PBE-GGA AcSn8Ir2, optimized geometry; DOS at the Fermi energy = 0.750 states/eV per atom; space-group type = P4/mmm; size of the total moment = 0.000 μB per atom; ΔE_f = -0.12 eV/atom; density = 7.5 Mg/m³
1.0
6.4745 0.0000 0.0000
0.0000 6.4745 0.0000
0.0000 0.0000 8.2982
Ac Sn Ir
1 8 2
Direct
0.0000 0.0000 0.0000
0.2518 0.2518 0.3105
0.2518 0.2518 0.6895
0.2518 0.7482 0.3105
0.2518 0.7482 0.6895
0.7482 0.2518 0.3105
0.7482 0.2518 0.6895
0.7482 0.7482 0.3105
0.7482 0.7482 0.6895
0.0000 0.5000 0.5000
0.5000 0.0000 0.5000

---

PBE-GGA AcSn4Ir4, optimized geometry; DOS at the Fermi energy = 0.592 states/eV per atom; space-group type = P4_2/n; size of the total moment = 0.000 μB per atom; ΔE_f = -0.27 eV/atom; density = 11.5 Mg/m³
1.0
8.9410 0.0000 0.0000
0.0000 8.9410 0.0000
0.0000 0.0000 5.3304
Ac Sn Ir
2 8 8
Direct
0.2500 0.2500 0.2500
0.7500 0.7500 0.7500
0.1107 0.6350 0.1590
0.1350 0.8893 0.6590
0.3650 0.6107 0.6590
0.3893 0.8650 0.1590
0.6107 0.1350 0.8410
0.6350 0.3893 0.3410
0.8650 0.1107 0.3410
0.8893 0.3650 0.8410
0.0603 0.5933 0.6650
0.0933 0.9397 0.1650
0.4067 0.5603 0.1650
0.4397 0.9067 0.6650
0.5603 0.0933 0.3350
0.5933 0.4397 0.8350
0.9067 0.0603 0.8350
0.9397 0.4067 0.3350

---

PBE-GGA Ac4Sn3Ir5, optimized geometry; DOS at the Fermi energy = 0.609 states/eV per atom; space-group type = C2/m; size of the total moment = 0.000 μB per atom; ΔE_f = -0.49 eV/atom; density = 11.1 Mg/m³
1.0
7.2771 -2.4265 0.0000
7.2771 2.4265 0.0000
-5.0085 0.0000 9.4620
Ac Sn Ir
4 3 5
Direct
0.0441 0.0441 0.3504
0.2687 0.2687 0.7609
0.7313 0.7313 0.2391
0.9559 0.9559 0.6496
0.0000 0.0000 0.0000
0.3560 0.3560 0.1143
0.6440 0.6440 0.8857
0.2736 0.2736 0.4753
0.4118 0.4118 0.3926
0.5000 0.5000 0.0000
0.5882 0.5882 0.6074
0.7264 0.7264 0.5247

---

PBE-GGA Ac3Sn2Ir3, optimized geometry; DOS at the Fermi energy = 0.568 states/eV per atom; space-group type = P6_3/mcm; size of the total moment = 0.070 μB per atom; ΔE_f = -0.48 eV/atom; energy above the most stable polymorph in this dataset = 1.208 eV/f.u.; density = 12.2 Mg/m³
1.0
8.6527 0.0000 0.0000
-4.3263 7.4934 0.0000
0.0000 0.0000 6.2611
Ac Sn Ir
6 4 6
Direct
0.0000 0.2720 0.2500
0.0000 0.7280 0.7500
0.2720 0.0000 0.2500
0.2720 0.2720 0.7500
0.7280 0.0000 0.7500
0.7280 0.7280 0.2500
0.3333 0.6667 0.0000
0.3333 0.6667 0.5000
0.6667 0.3333 0.0000
0.6667 0.3333 0.5000
0.0000 0.3984 0.7500
0.0000 0.6016 0.2500
0.3984 0.0000 0.7500
0.3984 0.3984 0.2500
0.6016 0.0000 0.2500
0.6016 0.6016 0.7500

---

PBE-GGA Ac4SnIr, optimized geometry; DOS at the Fermi energy = 1.391 states/eV per atom; space-group type = P4/mmm; size of the total moment = 0.000 μB per atom; ΔE_f = -0.38 eV/atom; energy above the most stable polymorph in this dataset = 0.779 eV/f.u.; density = 8.9 Mg/m³
1.0
5.3359 0.0000 0.0000
0.0000 5.3359 0.0000
0.0000 0.0000 7.9856
Ac Sn Ir
4 1 1
Direct
0.0000 0.5000 0.2264
0.0000 0.5000 0.7736
0.5000 0.0000 0.2264
0.5000 0.0000 0.7736
0.0000 0.0000 0.5000
0.5000 0.5000 0.0000

---

PBE-GGA Ac4SnIr2, optimized geometry; DOS at the Fermi energy = 0.737 states/eV per atom; space-group type = Cmcm; size of the total moment = 0.000 μB per atom; ΔE_f = -0.63 eV/atom; density = 9.8 Mg/m³
1.0
2.2706 -7.1525 0.0000
2.2706 7.1525 0.0000
0.0000 0.0000 14.6938
Ac Sn Ir
8 2 4
Direct
0.0000 0.0000 0.0000
0.0000 0.0000 0.5000
0.2684 0.7316 0.6101
0.2684 0.7316 0.8899
0.4412 0.5588 0.2500
0.5588 0.4412 0.7500
0.7316 0.2684 0.1101
0.7316 0.2684 0.3899
0.1143 0.8857 0.2500
0.8857 0.1143 0.7500
0.3701 0.6299 0.0629
0.3701 0.6299 0.4371
0.6299 0.3701 0.5629
0.6299 0.3701 0.9371

---

PBE-GGA Ac7Sn4Ir, optimized geometry; DOS at the Fermi energy = 0.637 states/eV per atom; space-group type = C2/m; size of the total moment = 0.000 μB per atom; ΔE_f = -0.44 eV/atom; density = 8.0 Mg/m³
1.0
8.4348 -2.8652 0.0000
8.4348 2.8652 0.0000
-7.1536 0.0000 9.6925
Ac Sn Ir
7 4 1
Direct
0.0000 0.0000 0.0000
0.1423 0.1423 0.5530
0.2852 0.2852 0.1328
0.4252 0.4252 0.7206
0.5748 0.5748 0.2794
0.7148 0.7148 0.8672
0.8577 0.8577 0.4470
0.0783 0.0783 0.7783
0.2239 0.2239 0.3470
0.7761 0.7761 0.6530
0.9217 0.9217 0.2217
0.5000 0.5000 0.0000

---

PBE-GGA AcSn4Ir2, optimized geometry; DOS at the Fermi energy = 0.762 states/eV per atom; space-group type = P4_2/mnm; size of the total moment = 0.000 μB per atom; ΔE_f = -0.36 eV/atom; energy above the most stable polymorph in this dataset = 1.082 eV/f.u.; density = 10.9 Mg/m³
1.0
8.7232 0.0000 0.0000
0.0000 8.7232 0.0000
0.0000 0.0000 4.3563
Ac Sn Ir
2 8 4
Direct
0.0000 0.0000 0.0000
0.5000 0.5000 0.5000
0.0789 0.3207 0.5000
0.1793 0.5789 0.0000
0.3207 0.0789 0.5000
0.4211 0.8207 0.0000
0.5789 0.1793 0.0000
0.6793 0.9211 0.5000
0.8207 0.4211 0.0000
0.9211 0.6793 0.5000
0.2152 0.7848 0.5000
0.2848 0.2848 0.0000
0.7152 0.7152 0.0000
0.7848 0.2152 0.5000

---

PBE-GGA AcSnIr, optimized geometry; DOS at the Fermi energy = 0.475 states/eV per atom; space-group type = Cmcm; size of the total moment = 0.000 μB per atom; ΔE_f = -0.58 eV/atom; energy above the most stable polymorph in this dataset = 0.355 eV/f.u.; density = 11.6 Mg/m³
1.0
3.9123 0.0000 0.0000
0.0000 12.3982 0.0000
0.0000 0.0000 6.3341
Ac Sn Ir
4 4 4
Direct
0.0000 0.1722 0.2500
0.0000 0.8278 0.7500
0.5000 0.3278 0.7500
0.5000 0.6722 0.2500
0.0000 0.0989 0.7500
0.0000 0.9011 0.2500
0.5000 0.4011 0.2500
0.5000 0.5989 0.7500
0.0000 0.5000 0.0000
0.0000 0.5000 0.5000
0.5000 0.0000 0.0000
0.5000 0.0000 0.5000